Below is crystalline Sc12Ni5Sb at its relaxed geometry, with properties calculated at the PBE level.

Summary:
Total magnetic moment   0.00 μB per atom

Geometry as POSCAR:
```
Sc12Ni5Sb
1.0
7.2310 -0.0288 -2.7969
-3.7679 6.3992 -2.2280
-0.0399 0.0288 7.7530
Sb Ni Sc
1 5 12
Cartesian
-1.9039 3.2140 2.7625
0.0000 0.0000 0.0000
2.2263 4.0953 -3.2303
1.2368 2.2752 -1.7946
3.1037 0.8303 3.1916
0.3195 5.5690 -0.4636
3.5727 3.7370 2.5112
2.4801 4.3377 -0.5355
-0.4222 4.3665 5.2447
2.6798 1.1514 0.5073
5.7632 1.1514 2.6324
0.7435 5.2479 2.2207
3.8455 2.0328 -2.5166
5.7152 0.1201 -0.5976
-2.3399 5.2479 0.0957
-2.2920 6.2791 3.3256
0.9431 2.0616 3.2636
-0.1494 2.6623 0.2168
```

Below is crystalline ScNiSb2 at its relaxed geometry, with properties calculated at the PBE level.

Summary:
Total magnetic moment   0.00 μB per atom

Geometry as POSCAR:
```
ScNiSb2
1.0
-0.4275 0.5838 4.0285
2.7980 -1.3932 0.4988
4.7456 5.8931 -0.3505
Sb Sc Ni
2 1 1
Cartesian
6.7231 4.1548 0.1113
1.7971 2.1171 1.9631
4.1222 2.5140 0.0731
5.7891 3.0475 2.2519
```

Below is crystalline ScNiSb2 at its relaxed geometry, with properties calculated at the PBE level.

Summary:
Total magnetic moment   0.00 μB per atom

Geometry as POSCAR:
```
ScNiSb2
1.0
-4.0803 0.6409 -2.3750
0.0936 -4.2236 -1.3006
-1.9626 -0.9988 3.1023
Sb Sc Ni
2 1 1
Cartesian
-1.9934 -1.7913 -1.8378
0.0000 0.0000 0.0000
-3.0215 -0.1789 0.3637
-0.9345 -2.6112 0.9009
```

Below is crystalline ScNiSb2 at its relaxed geometry, with properties calculated at the PBE level.

Summary:
Total magnetic moment   0.00 μB per atom

Geometry as POSCAR:
```
ScNiSb2
1.0
3.2291 0.0000 0.0000
0.0000 3.7940 0.0000
0.0000 0.0000 6.5976
Sc Ni Sb
1 1 2
Cartesian
1.6146 1.8970 1.6494
1.6146 1.8970 4.9482
0.0000 0.0000 3.4374
0.0000 0.0000 6.4591
```

Below is crystalline Sc2Ni2Sb at its relaxed geometry, with properties calculated at the PBE level.

Summary:
Energy relative to the lowest polymorph listed for this composition   250 meV/atom
Total magnetic moment   0.00 μB per atom

Geometry as POSCAR:
```
Sc2Ni2Sb
1.0
-3.0955 0.3316 -1.4761
-1.5114 -0.5283 3.0508
-2.1481 7.7239 2.2188
Ni Sc Sb
2 2 1
Cartesian
-2.9814 3.5487 3.0285
-3.7735 3.9786 0.7651
-4.4908 5.6457 2.6439
-2.2641 1.8816 1.1497
0.0000 0.0000 0.0000
```

Below is crystalline ScNiSb2 at its relaxed geometry, with properties calculated at the PBE level.

Summary:
Total magnetic moment   0.00 μB per atom

Geometry as POSCAR:
```
ScNiSb2
1.0
3.5071 0.0304 0.0000
-1.0066 3.3597 0.0000
0.0000 0.0000 6.9916
Sb Sc Ni
2 1 1
Cartesian
0.0000 0.0000 6.7798
0.0000 0.0000 3.7075
1.2503 1.6950 1.7479
1.2503 1.6950 5.2437
```

Below is crystalline Sc2NiSb at its relaxed geometry, with properties calculated at the PBE level.

Summary:
Total magnetic moment   0.57 μB per atom

Geometry as POSCAR:
```
Sc2NiSb
1.0
4.7568 0.0000 0.0000
2.3784 4.1196 0.0000
2.3784 1.3732 3.8840
Sc Ni Sb
2 1 1
Cartesian
0.0000 0.0000 0.0000
2.3784 1.3732 0.9710
4.7568 2.7464 1.9420
7.1353 4.1196 2.9130
```

Below is crystalline Sc2NiSb at its relaxed geometry, with properties calculated at the PBE level.

Summary:
Total magnetic moment   0.00 μB per atom

Geometry as POSCAR:
```
Sc2NiSb
1.0
3.4316 0.0425 0.0000
-0.1587 3.4282 0.0000
0.0000 0.0000 6.6849
Sc Sb Ni
2 1 1
Cartesian
0.0000 0.0000 3.1503
0.0000 0.0000 0.1922
1.6364 1.7353 5.0137
1.6364 1.7353 1.6712
```

Summary of energy relative to the elements, uncorrected in kJ/mol of atoms
-42; -35; -30; -17; -36; -26; -13; -49
(order as listed above)
Summary of raw total energy in eV/atom
-6.494; -5.455; -5.396; -5.263; -6.045; -5.361; -5.773; -6.146
(order as listed above)